# 1
# BaLa2CrRh | the Alexandria database | PBE | optimized geometry
# Calculated formation energy, eV per atom: 1.268
data_BaLa2CrRh
_chemical_formula_sum 'Ba1 La2 Cr1 Rh1'
_cell_length_a 5.884
_cell_length_b 5.011
_cell_length_c 5.884
_cell_angle_alpha 90.00
_cell_angle_beta 90.00
_cell_angle_gamma 90.00
_symmetry_space_group_name_H-M 'P 1'
_symmetry_Int_Tables_number 1
_symmetry_space_group_name_Hall 'P 1'
loop_
_atom_site_label
_atom_site_type_symbol
_atom_site_fract_x
_atom_site_fract_y
_atom_site_fract_z
Rh1 Rh 0.000 0.500 0.000
La1 La 0.500 0.000 0.000
La2 La 0.000 0.000 0.500
Cr1 Cr 0.500 0.500 0.500
Ba1 Ba 0.000 0.000 0.000


# 2
# La5ThIn6 | the Alexandria database | PBE | optimized geometry
# Calculated formation energy, eV per atom: -0.461
data_La5ThIn6
_chemical_formula_sum 'La5 Th1 In6'
_cell_length_a 5.595
_cell_length_b 7.806
_cell_length_c 9.672
_cell_angle_alpha 66.20
_cell_angle_beta 72.99
_cell_angle_gamma 90.00
_symmetry_space_group_name_H-M 'P 1'
_symmetry_Int_Tables_number 1
_symmetry_space_group_name_Hall 'P 1'
loop_
_atom_site_label
_atom_site_type_symbol
_atom_site_fract_x
_atom_site_fract_y
_atom_site_fract_z
La1 La 0.334 0.833 0.333
La2 La 0.000 0.500 0.000
La3 La 0.667 0.667 0.666
La4 La 0.666 0.167 0.667
La5 La 0.333 0.333 0.334
In1 In 0.166 0.415 0.668
In2 In 0.166 0.917 0.668
In3 In 0.834 0.585 0.332
In4 In 0.834 0.083 0.332
In5 In 0.500 0.752 0.000
In6 In 0.500 0.248 0.000
Th1 Th 0.000 0.000 0.000


# 3
# MnCdCu2 | the Alexandria database | PBE | optimized geometry
# Calculated formation energy, eV per atom: 0.180
data_MnCdCu2
_chemical_formula_sum 'Mn1 Cd1 Cu2'
_cell_length_a 4.759
_cell_length_b 4.759
_cell_length_c 4.759
_cell_angle_alpha 131.35
_cell_angle_beta 131.35
_cell_angle_gamma 71.25
_symmetry_space_group_name_H-M 'P 1'
_symmetry_Int_Tables_number 1
_symmetry_space_group_name_Hall 'P 1'
loop_
_atom_site_label
_atom_site_type_symbol
_atom_site_fract_x
_atom_site_fract_y
_atom_site_fract_z
Cu1 Cu 0.000 0.000 0.000
Cu2 Cu 0.250 0.750 0.500
Mn1 Mn 0.500 0.500 0.000
Cd1 Cd 0.750 0.250 0.500


# 4
# NpAlCo2 | the Alexandria database | PBE | optimized geometry
# Calculated formation energy, eV per atom: -0.167
data_NpAlCo2
_chemical_formula_sum 'Np1 Al1 Co2'
_cell_length_a 2.870
_cell_length_b 2.870
_cell_length_c 6.579
_cell_angle_alpha 90.00
_cell_angle_beta 90.00
_cell_angle_gamma 90.00
_symmetry_space_group_name_H-M 'P 1'
_symmetry_Int_Tables_number 1
_symmetry_space_group_name_Hall 'P 1'
loop_
_atom_site_label
_atom_site_type_symbol
_atom_site_fract_x
_atom_site_fract_y
_atom_site_fract_z
Co1 Co 0.000 0.000 0.226
Co2 Co 0.000 0.000 0.774
Al1 Al 0.500 0.500 0.000
Np1 Np 0.500 0.500 0.500


Asked for DOS(E_F) across the records above, the calculation gives 6.83, 4.28, 2.00, 5.18 states/eV/f.u. in order.